Compound: YRe2Mo
Source: the Alexandria database
Functional: PBE
Structure: relaxed

Unit cell a=3.2270 b=4.6059 c=4.6442 alpha=90.00 beta=90.00 gamma=90.00
Closest atoms and distances in Å follow each position.
Atoms (fractional coordinates):
Mo  0.0000  0.5000  0.5000  4 Y 2.81, 4 Re 2.83
Re  0.0000  0.0000  0.0000  4 Re 2.81, 4 Y 2.83
Re  0.5000  0.5000  0.0000  4 Re 2.81, 4 Mo 2.83
Y  0.5000  0.0000  0.5000  4 Mo 2.81, 4 Re 2.83

Output
M_tot: 0.00 μB/f.u.
energy of formation: 1.53 eV/f.u.

---

Compound: CaTlHPb2
Source: the Alexandria database
Functional: PBE
Structure: relaxed

Unit cell a=5.0639 b=5.0639 c=4.8408 alpha=90.00 beta=90.00 gamma=90.00
Closest atoms and distances in Å follow each position.
Atoms (fractional coordinates):
Pb  0.0000  0.5000  0.0000  2 H 2.53
Pb  0.5000  0.0000  0.0000  2 H 2.53
H  0.0000  0.0000  0.0000  2 Ca 2.42, 4 Pb 2.53
Tl  0.5000  0.5000  0.5000  8 Pb 3.50, 4 Ca 3.58
Ca  0.0000  0.0000  0.5000  2 H 2.42

Output
E: -3.1345 eV per atom
M_tot: 0.00 μB/f.u.

---

Compound: RbPaPbO5
Source: the Alexandria database
Functional: PBE
Structure: relaxed

Unit cell a=6.5978 b=6.5978 c=8.3351 alpha=104.48 beta=104.48 gamma=106.37
Closest atoms and distances in Å follow each position.
Atoms (fractional coordinates):
Rb  0.3256  0.6744  0.2500  7 O 2.91-3.00
Rb  0.6744  0.3256  0.7500  7 O 2.91-3.00
Pa  0.0000  0.0000  0.5000  6 O 2.15-2.22
Pa  0.0000  0.0000  0.0000  6 O 2.15-2.22
Pb  0.6863  0.3137  0.2500  4 O 2.09
Pb  0.3137  0.6863  0.7500  4 O 2.09
O  0.0499  0.9501  0.2500  2 Pa 2.15
O  0.9501  0.0499  0.7500  2 Pa 2.15
O  0.8898  0.2817  0.0958  1 Pb 2.09, 1 Pa 2.22
O  0.1102  0.7183  0.9042  1 Pb 2.09, 1 Pa 2.22
O  0.7183  0.1102  0.4042  1 Pb 2.09, 1 Pa 2.22
O  0.2817  0.8898  0.5958  1 Pb 2.09, 1 Pa 2.22
O  0.7736  0.6484  0.4071  1 Pb 2.09, 1 Pa 2.19
O  0.2264  0.3516  0.5929  1 Pb 2.09, 1 Pa 2.19
O  0.3516  0.2264  0.0929  1 Pb 2.09, 1 Pa 2.19
O  0.6484  0.7736  0.9071  1 Pb 2.09, 1 Pa 2.19

Output
formation energy (no corrections): -2.21 eV per atom
M_tot: 0.00 μB/f.u.

---

Repeat the third record exactly.
Compound: RbPaPbO5
Source: the Alexandria database
Functional: PBE
Structure: relaxed

Unit cell a=6.5978 b=6.5978 c=8.3351 alpha=104.48 beta=104.48 gamma=106.37
Closest atoms and distances in Å follow each position.
Atoms (fractional coordinates):
Rb  0.3256  0.6744  0.2500  7 O 2.91-3.00
Rb  0.6744  0.3256  0.7500  7 O 2.91-3.00
Pa  0.0000  0.0000  0.5000  6 O 2.15-2.22
Pa  0.0000  0.0000  0.0000  6 O 2.15-2.22
Pb  0.6863  0.3137  0.2500  4 O 2.09
Pb  0.3137  0.6863  0.7500  4 O 2.09
O  0.0499  0.9501  0.2500  2 Pa 2.15
O  0.9501  0.0499  0.7500  2 Pa 2.15
O  0.8898  0.2817  0.0958  1 Pb 2.09, 1 Pa 2.22
O  0.1102  0.7183  0.9042  1 Pb 2.09, 1 Pa 2.22
O  0.7183  0.1102  0.4042  1 Pb 2.09, 1 Pa 2.22
O  0.2817  0.8898  0.5958  1 Pb 2.09, 1 Pa 2.22
O  0.7736  0.6484  0.4071  1 Pb 2.09, 1 Pa 2.19
O  0.2264  0.3516  0.5929  1 Pb 2.09, 1 Pa 2.19
O  0.3516  0.2264  0.0929  1 Pb 2.09, 1 Pa 2.19
O  0.6484  0.7736  0.9071  1 Pb 2.09, 1 Pa 2.19

Output
formation energy (no corrections): -2.21 eV per atom
M_tot: 0.00 μB/f.u.

---

What did the first record say?
Compound: YRe2Mo
Source: the Alexandria database
Functional: PBE
Structure: relaxed

Unit cell a=3.2270 b=4.6059 c=4.6442 alpha=90.00 beta=90.00 gamma=90.00
Closest atoms and distances in Å follow each position.
Atoms (fractional coordinates):
Mo  0.0000  0.5000  0.5000  4 Y 2.81, 4 Re 2.83
Re  0.0000  0.0000  0.0000  4 Re 2.81, 4 Y 2.83
Re  0.5000  0.5000  0.0000  4 Re 2.81, 4 Mo 2.83
Y  0.5000  0.0000  0.5000  4 Mo 2.81, 4 Re 2.83

Output
M_tot: 0.00 μB/f.u.
energy of formation: 1.53 eV/f.u.

---

What is the M_tot in the third record?
0.00 μB/f.u.